## TlCl (PBE)

Data for an optimized crystal structure of TlCl.

Calculated values
**DOS at the Fermi energy**: 0.00 states/eV/f.u.
**Size of the total moment**: 0.00 μB/atom
**Formation energy (no corrections)**: -940 meV/atom

abc: 13.433 13.433 4.549
angles: 90.00 90.00 90.00
Space group I4/m (No. 87)
Unique sites:
Tl1 0.107 0.259 0.000
Cl1 0.128 0.695 0.000